# 1
# BaSiTc2

A geometry-optimized BaSiTc2 structure (PBE, Alexandria via LeMat-Bulk). Values from VASP.

Output
Uncorrected formation energy   0.600 eV per atom
Energy   -25.7 eV/cell

```
&SYSTEM
  ibrav = 0, nat = 4, ntyp = 3
/
ATOMIC_SPECIES
Ba 137.33 Ba.upf
Si 28.09 Si.upf
Tc 98.00 Tc.upf
ATOMIC_POSITIONS crystal
Ba 0.000 0.000 0.000
Si 0.000 0.000 0.500
Tc 0.500 0.500 0.315
Tc 0.500 0.500 0.685
CELL_PARAMETERS angstrom
1.738 -2.538 0.000
1.738 2.538 0.000
0.000 0.000 8.647
```

=====

# 2
# V6CrPt

A geometry-optimized V6CrPt structure (PBE, Alexandria via LeMat-Bulk). Values from VASP.

Output
Energy   -72.0 eV/cell
Energy relative to the elements   -207 meV per atom

```
&SYSTEM
  ibrav = 0, nat = 8, ntyp = 3
/
ATOMIC_SPECIES
V 50.94 V.upf
Cr 52.00 Cr.upf
Pt 195.08 Pt.upf
ATOMIC_POSITIONS crystal
V 0.000 0.000 0.000
V 0.000 0.000 0.486
V 0.000 0.486 0.000
V 0.500 0.244 0.244
V 0.500 0.246 0.737
V 0.500 0.737 0.246
Cr 0.000 0.480 0.480
Pt 0.500 0.742 0.742
CELL_PARAMETERS angstrom
3.016 0.000 0.000
0.000 4.219 4.204
0.000 -4.219 4.204
```

=====

| no. | DOS at the Fermi energy (states/eV/f.u.) |
| --- | --- |
| 1 | 3.78 |
| 2 | 5.70 |